[1]
The following is a PBE calculation of a relaxed PmMg2Tl crystal, from Alexandria via LeMat-Bulk.

Cell and atoms, written as extended XYZ:
```
4
Lattice="4.608 0.000 0.000 0.000 4.608 0.000 0.000 0.000 4.908" Properties=species:S:1:pos:R:3 pbc="T T T"
Pm 0.000 0.000 0.000
Mg 0.000 2.304 2.454
Mg 2.304 0.000 2.454
Tl 2.304 2.304 0.000
```

Properties
Crystal system: tetragonal
Energy of formation from the pure elements (eV per atom): -0.2334
V (Å³/f.u.): 104
Energy (eV/atom): -2.8099
Space group: P4/mmm
N(E_F) (states/eV per atom): 0.577

***

[2]
The following is a PBE calculation of a relaxed Rb2Na3Tl6 crystal, from Alexandria via LeMat-Bulk.

Cell and atoms, written as extended XYZ:
```
11
Lattice="6.654 -7.846 0.000 6.654 7.846 0.000 0.000 0.000 3.889" Properties=species:S:1:pos:R:3 pbc="T T T"
Rb 6.654 4.520 0.000
Rb 6.654 -4.520 0.000
Na 4.050 0.000 0.000
Na 6.654 0.000 1.945
Na 9.258 0.000 0.000
Tl 1.525 0.000 1.945
Tl 3.724 2.471 1.945
Tl 3.724 -2.471 1.945
Tl 9.584 2.471 1.945
Tl 9.584 -2.471 1.945
Tl 11.783 0.000 1.945
```

Properties
Crystal system: orthorhombic
Energy of formation from the pure elements (eV per atom): 0.0013
V (Å³/f.u.): 406
Energy (eV/atom): -1.8251
Space group: Cmmm
N(E_F) (states/eV per atom): 0.550

***

[3]
The following is a PBE calculation of a relaxed KAs2W crystal, from Alexandria via LeMat-Bulk.

Cell and atoms, written as extended XYZ:
```
4
Lattice="-1.622 1.749 8.107 1.622 -1.749 8.107 1.622 1.749 -8.107" Properties=species:S:1:pos:R:3 pbc="T T T"
K 0.000 0.000 0.000
As 0.000 0.000 5.844
As 0.000 1.749 2.806
W 1.622 0.000 3.953
```

Properties
Crystal system: orthorhombic
Energy of formation from the pure elements (eV per atom): -0.0142
V (Å³/f.u.): 92
Energy (eV/atom): -5.8516
Space group: Imm2
N(E_F) (states/eV per atom): 0.489

***

[4]
The following is a PBE calculation of a relaxed CsSbP3 crystal, from Alexandria via LeMat-Bulk.

Cell and atoms, written as extended XYZ:
```
5
Lattice="5.277 0.000 0.000 0.000 5.277 0.000 0.000 0.000 5.277" Properties=species:S:1:pos:R:3 pbc="T T T"
Cs 0.000 0.000 0.000
Sb 2.639 2.639 2.639
P 0.000 2.639 2.639
P 2.639 0.000 2.639
P 2.639 2.639 0.000
```

Properties
Raw formation energy (eV per atom): 0.68
Crystal system: cubic
V (Å³/f.u.): 147
Energy (eV/atom): -3.5645
Space group: Pm-3m
N(E_F) (states/eV per atom): 1.405

***

[5]
The following is a PBE calculation of a relaxed KSiSb crystal, from Alexandria via LeMat-Bulk.

Cell and atoms, written as extended XYZ:
```
3
Lattice="0.000 3.617 3.617 3.617 0.000 3.617 3.617 3.617 0.000" Properties=species:S:1:pos:R:3 pbc="T T T"
K 0.000 0.000 0.000
Si 5.425 5.425 5.425
Sb 3.617 3.617 3.617
```

Properties
Raw formation energy (eV per atom): 0.30
Crystal system: cubic
V (Å³/f.u.): 95
Energy (eV/atom): -3.2463
Space group: F-43m
N(E_F) (states/eV per atom): 0.380

***

[6]
The following is a PBE calculation of a relaxed Rb3SrSe crystal, from Alexandria via LeMat-Bulk.

Cell and atoms, written as extended XYZ:
```
5
Lattice="6.796 0.000 0.000 0.000 6.796 0.000 0.000 0.000 6.796" Properties=species:S:1:pos:R:3 pbc="T T T"
Rb 0.000 0.000 3.398
Rb 0.000 3.398 0.000
Rb 3.398 0.000 0.000
Sr 3.398 3.398 3.398
Se 0.000 0.000 0.000
```

Properties
Raw formation energy (eV per atom): -0.38
Crystal system: cubic
V (Å³/f.u.): 314
Energy (eV/atom): -1.9973
Space group: Pm-3m
N(E_F) (states/eV per atom): 1.023